Compound: HfCoBiW
Source: OQMD via LeMat-Bulk
Functional: PBE
Structure: optimized geometry

Results
* calculated density: 14.65 Mg/m³
* spin magnetization: 0.04 μB/cell
* ΔE to the lowest computed polymorph: 0.00 eV/f.u.
* crystal system: cubic

The structure in CIF format:
```
data_HfCoBiW
_chemical_formula_sum 'Hf1 Co1 Bi1 W1'
_cell_length_a 4.658
_cell_length_b 4.658
_cell_length_c 4.658
_cell_angle_alpha 60.00
_cell_angle_beta 60.00
_cell_angle_gamma 60.00
_space_group_name_H-M_alt 'P 1'
_space_group_IT_number 1
_space_group_name_Hall 'P 1'
loop_
_atom_site_label
_atom_site_type_symbol
_atom_site_fract_x
_atom_site_fract_y
_atom_site_fract_z
Bi1 Bi 0.000 0.000 0.000
Co1 Co 0.750 0.750 0.750
Hf1 Hf 0.500 0.500 0.500
W1 W 0.250 0.250 0.250
```


Compound: Mg3Co
Source: OQMD via LeMat-Bulk
Functional: PBE
Structure: optimized geometry

Results
* calculated density: 3.17 Mg/m³
* spin magnetization: 0.41 μB/cell
* E_tot: -0.102 Ha/atom
* crystal system: cubic

The structure in CIF format:
```
data_Mg3Co
_chemical_formula_sum 'Mg3 Co1'
_cell_length_a 4.605
_cell_length_b 4.605
_cell_length_c 4.605
_cell_angle_alpha 60.00
_cell_angle_beta 60.00
_cell_angle_gamma 60.00
_space_group_name_H-M_alt 'P 1'
_space_group_IT_number 1
_space_group_name_Hall 'P 1'
loop_
_atom_site_label
_atom_site_type_symbol
_atom_site_fract_x
_atom_site_fract_y
_atom_site_fract_z
Co1 Co 0.750 0.750 0.750
Mg1 Mg 0.000 0.000 0.000
Mg2 Mg 0.250 0.250 0.250
Mg3 Mg 0.500 0.500 0.500
```


Compound: Co2TcBi
Source: OQMD via LeMat-Bulk
Functional: PBE
Structure: optimized geometry

Results
* calculated density: 11.64 Mg/m³
* spin magnetization: 0.09 μB/cell
* E_tot: -0.240 Ha/atom
* crystal system: cubic

The structure in CIF format:
```
data_Co2TcBi
_chemical_formula_sum 'Co2 Tc1 Bi1'
_cell_length_a 4.409
_cell_length_b 4.409
_cell_length_c 4.409
_cell_angle_alpha 60.00
_cell_angle_beta 60.00
_cell_angle_gamma 60.00
_space_group_name_H-M_alt 'P 1'
_space_group_IT_number 1
_space_group_name_Hall 'P 1'
loop_
_atom_site_label
_atom_site_type_symbol
_atom_site_fract_x
_atom_site_fract_y
_atom_site_fract_z
Bi1 Bi 0.500 0.500 0.500
Co1 Co 0.000 0.000 0.000
Co2 Co 0.750 0.750 0.750
Tc1 Tc 0.250 0.250 0.250
```


Compound: Pr2NdCd3Ag3
Source: OQMD via LeMat-Bulk
Functional: PBE
Structure: optimized geometry

Results
* calculated formation energy: -0.33 eV/atom
* calculated density: 8.00 Mg/m³
* spin magnetization: 0.02 μB/cell
* crystal system: orthorhombic

The structure in CIF format:
```
data_Pr2NdCd3Ag3
_chemical_formula_sum 'Pr2 Nd1 Cd3 Ag3'
_cell_length_a 4.039
_cell_length_b 8.028
_cell_length_c 8.028
_cell_angle_alpha 119.99
_cell_angle_beta 90.00
_cell_angle_gamma 90.00
_space_group_name_H-M_alt 'P 1'
_space_group_IT_number 1
_space_group_name_Hall 'P 1'
loop_
_atom_site_label
_atom_site_type_symbol
_atom_site_fract_x
_atom_site_fract_y
_atom_site_fract_z
Ag1 Ag 0.000 0.000 0.000
Ag2 Ag 0.500 0.666 0.334
Ag3 Ag 0.500 0.334 0.666
Cd1 Cd 0.500 0.259 0.001
Cd2 Cd 0.500 0.001 0.259
Cd3 Cd 0.500 0.740 0.740
Nd1 Nd 0.000 0.406 0.406
Pr1 Pr 0.000 0.594 0.000
Pr2 Pr 0.000 0.000 0.594
```


Compound: ZrScSbC
Source: OQMD via LeMat-Bulk
Functional: PBE
Structure: optimized geometry

Results
* calculated density: 6.21 Mg/m³
* spin magnetization: 0.00 μB/cell
* ΔE to the lowest computed polymorph: 0.02 eV/f.u.
* crystal system: hexagonal

The structure in CIF format:
```
data_ZrScSbC
_chemical_formula_sum 'Zr2 Sc2 Sb2 C2'
_cell_length_a 3.419
_cell_length_b 3.419
_cell_length_c 14.268
_cell_angle_alpha 90.00
_cell_angle_beta 90.00
_cell_angle_gamma 120.00
_space_group_name_H-M_alt 'P 1'
_space_group_IT_number 1
_space_group_name_Hall 'P 1'
loop_
_atom_site_label
_atom_site_type_symbol
_atom_site_fract_x
_atom_site_fract_y
_atom_site_fract_z
C1 C 0.000 0.000 0.500
C2 C 0.000 0.000 0.000
Sb1 Sb 0.333 0.667 0.251
Sb2 Sb 0.667 0.333 0.751
Sc1 Sc 0.667 0.333 0.085
Sc2 Sc 0.333 0.667 0.585
Zr1 Zr 0.667 0.333 0.414
Zr2 Zr 0.333 0.667 0.914
```


Compound: DyNi4B
Source: OQMD via LeMat-Bulk
Functional: PBE
Structure: optimized geometry

Results
* calculated density: 9.06 Mg/m³
* spin magnetization: 0.00 μB/cell
* E_tot: -0.224 Ha/atom
* crystal system: hexagonal

The structure in CIF format:
```
data_DyNi4B
_chemical_formula_sum 'Dy2 Ni8 B2'
_cell_length_a 4.978
_cell_length_b 4.978
_cell_length_c 6.972
_cell_angle_alpha 90.00
_cell_angle_beta 90.00
_cell_angle_gamma 120.00
_space_group_name_H-M_alt 'P 1'
_space_group_IT_number 1
_space_group_name_Hall 'P 1'
loop_
_atom_site_label
_atom_site_type_symbol
_atom_site_fract_x
_atom_site_fract_y
_atom_site_fract_z
B1 B 0.667 0.333 0.000
B2 B 0.333 0.667 0.000
Dy1 Dy 0.000 0.000 0.000
Dy2 Dy 0.000 0.000 0.500
Ni1 Ni 0.500 0.000 0.208
Ni2 Ni 0.000 0.500 0.208
Ni3 Ni 0.500 0.500 0.208
Ni4 Ni 0.667 0.333 0.500
Ni5 Ni 0.333 0.667 0.500
Ni6 Ni 0.500 0.000 0.792
Ni7 Ni 0.000 0.500 0.792
Ni8 Ni 0.500 0.500 0.792
```


Compound: Dy5Tl4Au
Source: OQMD via LeMat-Bulk
Functional: PBE
Structure: optimized geometry

Results
* calculated density: 11.54 Mg/m³
* spin magnetization: 0.01 μB/cell
* E_tot: -0.148 Ha/atom
* crystal system: tetragonal

The structure in CIF format:
```
data_Dy5Tl4Au
_chemical_formula_sum 'Dy5 Tl4 Au1'
_cell_length_a 3.607
_cell_length_b 3.607
_cell_length_c 20.207
_cell_angle_alpha 90.00
_cell_angle_beta 90.00
_cell_angle_gamma 90.00
_space_group_name_H-M_alt 'P 1'
_space_group_IT_number 1
_space_group_name_Hall 'P 1'
loop_
_atom_site_label
_atom_site_type_symbol
_atom_site_fract_x
_atom_site_fract_y
_atom_site_fract_z
Au1 Au 0.000 0.000 0.000
Dy1 Dy 0.500 0.500 0.087
Dy2 Dy 0.500 0.500 0.294
Dy3 Dy 0.500 0.500 0.500
Dy4 Dy 0.500 0.500 0.706
Dy5 Dy 0.500 0.500 0.913
Tl1 Tl 0.000 0.000 0.191
Tl2 Tl 0.000 0.000 0.397
Tl3 Tl 0.000 0.000 0.603
Tl4 Tl 0.000 0.000 0.809
```


Compound: LaNd2Ga2Pd4
Source: OQMD via LeMat-Bulk
Functional: PBE
Structure: optimized geometry

Results
* calculated density: 8.30 Mg/m³
* spin magnetization: 0.00 μB/cell
* E_tot: -0.198 Ha/atom
* crystal system: monoclinic

The structure in CIF format:
```
data_LaNd2Ga2Pd4
_chemical_formula_sum 'La1 Nd2 Ga2 Pd4'
_cell_length_a 5.643
_cell_length_b 5.643
_cell_length_c 8.751
_cell_angle_alpha 97.11
_cell_angle_beta 97.11
_cell_angle_gamma 46.00
_space_group_name_H-M_alt 'P 1'
_space_group_IT_number 1
_space_group_name_Hall 'P 1'
loop_
_atom_site_label
_atom_site_type_symbol
_atom_site_fract_x
_atom_site_fract_y
_atom_site_fract_z
Ga1 Ga 0.322 0.322 0.219
Ga2 Ga 0.678 0.678 0.781
La1 La 0.000 0.000 0.000
Nd1 Nd 0.624 0.624 0.386
Nd2 Nd 0.376 0.376 0.614
Pd1 Pd 0.722 0.722 0.089
Pd2 Pd 0.915 0.915 0.363
Pd3 Pd 0.085 0.085 0.637
Pd4 Pd 0.278 0.278 0.911
```


Compound: TmMgCo
Source: OQMD via LeMat-Bulk
Functional: PBE
Structure: optimized geometry

Results
* calculated density: 6.11 Mg/m³
* spin magnetization: 0.01 μB/cell
* E_tot: -0.133 Ha/atom
* crystal system: cubic

The structure in CIF format:
```
data_TmMgCo
_chemical_formula_sum 'Tm1 Mg1 Co1'
_cell_length_a 4.593
_cell_length_b 4.593
_cell_length_c 4.593
_cell_angle_alpha 60.00
_cell_angle_beta 60.00
_cell_angle_gamma 60.00
_space_group_name_H-M_alt 'P 1'
_space_group_IT_number 1
_space_group_name_Hall 'P 1'
loop_
_atom_site_label
_atom_site_type_symbol
_atom_site_fract_x
_atom_site_fract_y
_atom_site_fract_z
Co1 Co 0.250 0.250 0.250
Mg1 Mg 0.750 0.750 0.750
Tm1 Tm 0.000 0.000 0.000
```


Compound: HoScGa2Pd4
Source: OQMD via LeMat-Bulk
Functional: PBE
Structure: optimized geometry

Results
* calculated density: 8.88 Mg/m³
* spin magnetization: 0.01 μB/cell
* E_tot: -0.205 Ha/atom
* crystal system: hexagonal

The structure in CIF format:
```
data_HoScGa2Pd4
_chemical_formula_sum 'Ho1 Sc1 Ga2 Pd4'
_cell_length_a 4.353
_cell_length_b 4.353
_cell_length_c 8.833
_cell_angle_alpha 90.00
_cell_angle_beta 90.00
_cell_angle_gamma 120.00
_space_group_name_H-M_alt 'P 1'
_space_group_IT_number 1
_space_group_name_Hall 'P 1'
loop_
_atom_site_label
_atom_site_type_symbol
_atom_site_fract_x
_atom_site_fract_y
_atom_site_fract_z
Ga1 Ga 0.667 0.333 0.262
Ga2 Ga 0.667 0.333 0.738
Ho1 Ho 0.333 0.667 0.000
Pd1 Pd 0.000 0.000 0.172
Pd2 Pd 0.333 0.667 0.340
Pd3 Pd 0.333 0.667 0.660
Pd4 Pd 0.000 0.000 0.828
Sc1 Sc 0.000 0.000 0.500
```


Compound: LuCoMoPb
Source: OQMD via LeMat-Bulk
Functional: PBE
Structure: optimized geometry

Results
* calculated density: 12.01 Mg/m³
* spin magnetization: 1.89 μB/cell
* ΔE to the lowest computed polymorph: 0.00 eV/f.u.
* crystal system: cubic

The structure in CIF format:
```
data_LuCoMoPb
_chemical_formula_sum 'Lu1 Co1 Mo1 Pb1'
_cell_length_a 4.718
_cell_length_b 4.718
_cell_length_c 4.718
_cell_angle_alpha 60.00
_cell_angle_beta 60.00
_cell_angle_gamma 60.00
_space_group_name_H-M_alt 'P 1'
_space_group_IT_number 1
_space_group_name_Hall 'P 1'
loop_
_atom_site_label
_atom_site_type_symbol
_atom_site_fract_x
_atom_site_fract_y
_atom_site_fract_z
Co1 Co 0.750 0.750 0.750
Lu1 Lu 0.500 0.500 0.500
Mo1 Mo 0.250 0.250 0.250
Pb1 Pb 0.000 0.000 0.000
```


Compound: Al2FeCu5
Source: OQMD via LeMat-Bulk
Functional: PBE
Structure: optimized geometry

Results
* calculated density: 7.24 Mg/m³
* spin magnetization: 2.35 μB/cell
* ΔE to the lowest computed polymorph: 0.00 eV/f.u.
* crystal system: tetragonal

The structure in CIF format:
```
data_Al2FeCu5
_chemical_formula_sum 'Al2 Fe1 Cu5'
_cell_length_a 4.073
_cell_length_b 4.073
_cell_length_c 5.909
_cell_angle_alpha 90.00
_cell_angle_beta 90.00
_cell_angle_gamma 90.00
_space_group_name_H-M_alt 'P 1'
_space_group_IT_number 1
_space_group_name_Hall 'P 1'
loop_
_atom_site_label
_atom_site_type_symbol
_atom_site_fract_x
_atom_site_fract_y
_atom_site_fract_z
Al1 Al 0.000 0.000 0.000
Al2 Al 0.500 0.500 0.500
Cu1 Cu 0.500 0.500 0.000
Cu2 Cu 0.500 0.000 0.251
Cu3 Cu 0.000 0.500 0.251
Cu4 Cu 0.500 0.000 0.749
Cu5 Cu 0.000 0.500 0.749
Fe1 Fe 0.000 0.000 0.500
```